No. 1
SmEuHg2 | PBEsol | optimized geometry

Its space group is Fm-3m (225). For the energy of formation from the pure elements, the calculation gives -56.10 kJ per mole of atoms. Its crystal system is cubic. The value obtained for the density of states at the Fermi level is 7.7 states/eV/f.u.

The structure in POSCAR format:
```
SmEuHg2
1.0
-3.8087 1.2896 3.4556
-1.8860 -3.6503 3.3509
1.1132 0.3237 5.1736
Sm Hg Eu
1 2 1
direct
0.5000 0.5000 0.5000
0.7500 0.7500 0.7500
0.2500 0.2500 0.2500
0.0000 0.0000 0.0000
```

No. 2
Eu2SnHg | PBEsol | optimized geometry

Its space group is Fm-3m (225). For the energy of formation from the pure elements, the calculation gives -69.34 kJ per mole of atoms. Its crystal system is cubic. The value obtained for the density of states at the Fermi level is 17.0 states/eV/f.u.

The structure in POSCAR format:
```
Eu2SnHg
1.0
5.4194 0.0000 0.0000
2.7097 4.6933 0.0000
2.7097 1.5644 4.4249
Sn Eu Hg
1 2 1
direct
0.0000 0.0000 0.0000
0.2500 0.2500 0.2500
0.7500 0.7500 0.7500
0.5000 0.5000 0.5000
```

Which value of energy of formation from the pure elements does entry 2 give?
-69.34 kJ per mole of atoms